Entry 1:
The following is a DFT calculation (GGA-PBE) of a relaxed structure of Nd8Ho2Sc3.

The calculation puts the formation energy at 0.24 eV/atom. The value obtained for the magnetization is 0.000 μB per atom. As for the density of states at the Fermi level: 18.5 states/eV/f.u.

POSCAR file:
```
Nd8Ho2Sc3
1.0
-5.504 -2.879 2.431
-2.997 -1.301 -8.324
5.905 -5.360 3.515
Nd Ho Sc
8 2 3
Direct
0.901 0.591 0.182
0.099 0.409 0.818
0.820 0.190 0.379
0.180 0.810 0.621
0.565 0.571 0.777
0.565 0.206 0.777
0.435 0.794 0.223
0.435 0.429 0.223
0.301 0.195 0.389
0.699 0.805 0.611
0.500 0.000 0.000
0.000 0.161 0.000
0.000 0.839 0.000
```

***

Entry 2:
The following is a DFT calculation (GGA-PBE) of a relaxed structure of Ag2Pd8Pt.

The calculation puts the formation energy at 0.31 eV/atom. The value obtained for the magnetization is 0.000 μB per atom. As for the density of states at the Fermi level: 18.0 states/eV/f.u.

POSCAR file:
```
Ag2Pd8Pt
1.0
4.805 0.479 0.364
0.674 6.833 0.792
0.674 2.603 6.367
Ag Pd Pt
2 8 1
Direct
0.521 0.872 0.872
0.479 0.128 0.128
0.205 0.378 0.758
0.795 0.242 0.622
0.072 0.770 0.770
0.928 0.230 0.230
0.205 0.758 0.378
0.795 0.622 0.242
0.658 0.637 0.637
0.342 0.363 0.363
0.000 0.000 0.000
```

***

Entry 3:
The following is a DFT calculation (GGA-PBE) of a relaxed structure of Mo2HPt.

The value obtained for the magnetization is 0.000 μB per atom. As for the density of states at the Fermi level: 4.1 states/eV/f.u. Its total energy is -7.41 eV/atom.

POSCAR file:
```
Mo2HPt
1.0
2.799 0.000 0.000
1.399 2.424 0.000
1.399 0.808 7.694
H Mo Pt
1 2 1
Direct
0.500 0.500 0.500
0.114 0.114 0.657
0.886 0.886 0.343
0.000 0.000 0.000
```

***

Entry 4:
The following is a DFT calculation (GGA-PBE) of a relaxed structure of Li2AgOs.

The calculation puts the formation energy at 0.29 eV/atom. The value obtained for the magnetization is 0.000 μB per atom. As for the density of states at the Fermi level: 1.9 states/eV/f.u.

POSCAR file:
```
Li2AgOs
1.0
2.650 0.000 0.000
0.000 2.650 0.000
0.000 0.000 9.104
Ag Li Os
1 2 1
Direct
0.500 0.500 0.748
0.000 0.000 0.981
0.500 0.500 0.275
0.000 0.000 0.496
```

***

Entry 5:
The following is a DFT calculation (GGA-PBE) of a relaxed structure of K2LiSeO4.

The value obtained for the magnetization is 0.105 μB per atom. As for the density of states at the Fermi level: 2.5 states/eV/f.u. As for the energy relative to the elements, uncorrected: -1.241 eV per atom.

POSCAR file:
```
K2LiSeO4
1.0
-0.232 2.584 -4.259
1.209 -3.610 -5.175
-9.735 -0.833 -2.894
K Li Se O
4 2 2 8
Direct
0.175 0.000 0.649
0.825 0.000 0.351
0.575 0.500 0.851
0.925 0.500 0.149
0.750 0.500 0.500
0.000 0.000 0.000
0.250 0.500 0.500
0.500 0.000 0.000
0.315 0.819 0.092
0.226 0.181 0.908
0.866 0.819 0.908
0.593 0.181 0.092
0.435 0.681 0.408
0.524 0.319 0.592
0.884 0.681 0.592
0.157 0.319 0.408
```

***

Entry 6:
The following is a DFT calculation (GGA-PBE) of a relaxed structure of Y4Tm2Tl3H2.

The value obtained for the magnetization is 0.000 μB per atom. As for the density of states at the Fermi level: 8.4 states/eV/f.u. Its total energy is -4.69 eV/atom.

POSCAR file:
```
Y4Tm2Tl3H2
1.0
4.727 0.000 0.000
0.000 4.727 0.000
-2.364 -2.364 12.207
Y Tm Tl H
4 2 3 2
Direct
0.415 0.915 0.830
0.915 0.415 0.830
0.085 0.585 0.170
0.585 0.085 0.170
0.302 0.302 0.604
0.698 0.698 0.396
0.000 0.000 0.000
0.175 0.175 0.351
0.825 0.825 0.649
0.396 0.396 0.793
0.604 0.604 0.207
```

***

Entry 7:
The following is a DFT calculation (GGA-PBE) of a relaxed structure of PmDyYZn.

The calculation puts the formation energy at -0.17 eV/atom. The value obtained for the magnetization is 0.000 μB per atom. As for the density of states at the Fermi level: 4.8 states/eV/f.u.

POSCAR file:
```
PmDyYZn
1.0
-2.953 -1.886 0.777
1.878 -1.979 2.332
-1.936 5.647 6.352
Pm Dy Y Zn
1 1 1 1
Direct
0.000 0.000 0.073
0.500 0.500 0.368
0.500 0.500 0.774
0.000 0.000 0.570
```

***

Entry 8:
The following is a DFT calculation (GGA-PBE) of a relaxed structure of Tm4PdC2.

The calculation puts the formation energy at -0.46 eV/atom. The value obtained for the magnetization is 0.000 μB per atom. As for the density of states at the Fermi level: 6.1 states/eV/f.u.

POSCAR file:
```
Tm4PdC2
1.0
3.604 0.000 0.000
-1.802 5.992 0.000
0.000 0.000 12.544
C Tm Pd
4 8 2
Direct
0.135 0.270 0.439
0.865 0.730 0.939
0.135 0.270 0.061
0.865 0.730 0.561
0.766 0.532 0.106
0.766 0.532 0.394
0.234 0.468 0.894
0.234 0.468 0.606
0.930 0.861 0.750
0.070 0.139 0.250
0.500 0.000 0.000
0.500 0.000 0.500
0.612 0.224 0.750
0.388 0.776 0.250
```

***

Entry 9:
The following is a DFT calculation (GGA-PBE) of a relaxed structure of Pm2MgSe4.

The value obtained for the magnetization is 0.000 μB per atom. As for the energy relative to the elements, uncorrected: -1.513 eV per atom.

POSCAR file:
```
Pm2MgSe4
1.0
7.595 0.000 0.000
0.000 8.465 0.000
0.000 0.000 12.288
Pm Mg Se
8 4 16
Direct
0.750 0.547 0.817
0.250 0.453 0.183
0.250 0.953 0.317
0.750 0.047 0.683
0.250 0.575 0.527
0.750 0.425 0.473
0.750 0.925 0.027
0.250 0.075 0.973
0.250 0.687 0.914
0.750 0.313 0.086
0.750 0.813 0.414
0.250 0.187 0.586
0.004 0.637 0.344
0.996 0.363 0.656
0.996 0.863 0.844
0.004 0.137 0.156
0.496 0.137 0.156
0.504 0.863 0.844
0.504 0.363 0.656
0.496 0.637 0.344
0.250 0.401 0.945
0.750 0.599 0.055
0.750 0.099 0.445
0.250 0.901 0.555
0.750 0.718 0.611
0.250 0.282 0.389
0.250 0.782 0.111
0.750 0.218 0.889
```

***

Entry 10:
The following is a DFT calculation (GGA-PBE) of a relaxed structure of AsAuO2.

The value obtained for the magnetization is 0.000 μB per atom. As for the density of states at the Fermi level: 4.0 states/eV/f.u. As for the energy relative to the elements, uncorrected: 0.108 eV per atom.

POSCAR file:
```
AsAuO2
1.0
1.873 0.000 6.565
-0.936 1.622 6.565
-0.936 -1.622 6.565
As Au O
1 1 2
Direct
0.000 0.000 0.000
0.500 0.500 0.500
0.904 0.904 0.904
0.096 0.096 0.096
```

***

Entry 11:
The following is a DFT calculation (GGA-PBE) of a relaxed structure of YAl2Ni.

The calculation puts the formation energy at -0.01 eV/atom. The value obtained for the magnetization is 0.000 μB per atom. As for the density of states at the Fermi level: 2.8 states/eV/f.u.

POSCAR file:
```
YAl2Ni
1.0
5.014 -0.059 -0.195
-2.257 5.178 0.082
0.500 0.853 2.822
Y Ni Al
1 1 2
Direct
0.500 0.500 0.000
0.000 0.500 0.500
0.000 0.000 0.000
0.500 0.000 0.500
```

***

Entry 12:
The following is a DFT calculation (GGA-PBE) of a relaxed structure of Os3PbC.

The calculation puts the formation energy at 0.87 eV/atom. The value obtained for the magnetization is 0.000 μB per atom. As for the density of states at the Fermi level: 1.9 states/eV/f.u.

POSCAR file:
```
Os3PbC
1.0
4.178 0.000 0.000
0.000 4.178 0.000
0.000 0.000 4.178
Pb C Os
1 1 3
Direct
0.500 0.500 0.500
0.000 0.000 0.000
0.000 0.500 0.000
0.000 0.000 0.500
0.500 0.000 0.000
```

***

Entry 13:
The following is a DFT calculation (GGA-PBE) of a relaxed structure of HfIn2Cl2.

The value obtained for the magnetization is 0.000 μB per atom. As for the density of states at the Fermi level: 1.7 states/eV/f.u. As for the energy relative to the elements, uncorrected: -0.108 eV per atom.

POSCAR file:
```
HfIn2Cl2
1.0
8.193 0.000 0.000
0.000 8.193 0.000
0.000 0.000 3.540
Cl Hf In
4 2 4
Direct
0.370 0.870 0.000
0.870 0.630 0.000
0.630 0.130 0.000
0.130 0.370 0.000
0.000 0.000 0.000
0.500 0.500 0.000
0.189 0.689 0.500
0.689 0.811 0.500
0.811 0.311 0.500
0.311 0.189 0.500
```

***

Entry 14:
The following is a DFT calculation (GGA-PBE) of a relaxed structure of AgSb.

The value obtained for the magnetization is 0.000 μB per atom. As for the density of states at the Fermi level: 1.1 states/eV/f.u. As for the energy relative to the elements, uncorrected: 0.181 eV per atom.

POSCAR file:
```
AgSb
1.0
5.750 0.000 0.000
0.000 5.750 0.000
0.000 0.000 5.804
Ag Sb
4 4
Direct
0.284 0.716 0.000
0.784 0.784 0.500
0.216 0.216 0.500
0.716 0.284 0.000
0.216 0.216 0.000
0.716 0.284 0.500
0.284 0.716 0.500
0.784 0.784 0.000
```

***

Entry 15:
The following is a DFT calculation (GGA-PBE) of a relaxed structure of LiReTe2.

The value obtained for the magnetization is 0.000 μB per atom. As for the density of states at the Fermi level: 2.5 states/eV/f.u. As for the energy relative to the elements, uncorrected: 0.173 eV per atom.

POSCAR file:
```
LiReTe2
1.0
6.261 0.000 0.000
0.000 6.261 0.000
3.131 3.131 6.083
Re Te Li
2 4 2
Direct
0.000 0.000 0.000
0.750 0.250 0.500
0.656 0.125 0.250
0.094 0.625 0.250
0.375 0.344 0.750
0.875 0.906 0.750
0.500 0.500 0.000
0.250 0.750 0.500
```

***

Entry 16:
The following is a DFT calculation (GGA-PBE) of a relaxed structure of LiSm2As3Ir4.

The calculation puts the formation energy at -0.73 eV/atom. The value obtained for the magnetization is 0.000 μB per atom. As for the density of states at the Fermi level: 2.8 states/eV/f.u.

POSCAR file:
```
LiSm2As3Ir4
1.0
-3.828 1.563 0.285
0.134 -0.425 4.121
3.987 9.605 0.862
Li Sm As Ir
1 2 3 4
Direct
0.500 0.500 0.500
0.500 0.000 0.255
0.000 0.500 0.745
0.000 0.000 0.500
0.500 0.000 0.862
0.000 0.500 0.138
0.500 0.500 0.000
0.000 0.000 0.000
0.500 0.000 0.634
0.000 0.500 0.366
```

***

Entry 17:
The following is a DFT calculation (GGA-PBE) of a relaxed structure of CsCaSbI2.

The value obtained for the magnetization is 0.205 μB per atom. As for the density of states at the Fermi level: 4.9 states/eV/f.u. As for the energy relative to the elements, uncorrected: 0.055 eV per atom.

POSCAR file:
```
CsCaSbI2
1.0
6.747 0.000 0.000
0.000 6.747 0.000
0.000 0.000 6.439
Cs I Ca Sb
1 2 1 1
Direct
0.000 0.000 0.000
0.000 0.500 0.000
0.500 0.000 0.000
0.500 0.500 0.500
0.000 0.000 0.500
```

***

Entry 18:
The following is a DFT calculation (GGA-PBE) of a relaxed structure of OsPd3S.

The value obtained for the magnetization is 0.000 μB per atom. As for the density of states at the Fermi level: 7.2 states/eV/f.u. As for the energy relative to the elements, uncorrected: 1.457 eV per atom.

POSCAR file:
```
OsPd3S
1.0
-3.401 -1.518 -3.021
-1.680 -2.961 3.379
-2.935 3.454 1.568
S Os Pd
1 1 3
Direct
0.500 0.500 0.500
0.000 0.000 0.000
0.000 0.500 0.000
0.000 0.000 0.500
0.500 0.000 0.000
```